1.
Hf2TiTe6 after structural relaxation. Source: the Alexandria database, functional PBE.

The structure belongs to space group C2/m (No. 12); the cell edges are 18.6817, 3.8888 and 8.6114 Å and the angles 90.00°, 111.26° and 90.00°. Symmetry generates all atoms from Hf at (0.1651, 0.0000, 0.3311), Ti at (0.0000, 0.5000, 0.0000), Te at (0.0014, 0.0000, 0.2368), Te at (0.1598, 0.5000, 0.0803) and Te at (0.1693, 0.5000, 0.5826).

The value obtained for the energy above the lowest structure with this stoichiometry is 0.000 eV per atom. Its total moment is 0.00 μB/cell.

=====

2.
NdMgInPb after structural relaxation. Source: the Alexandria database, functional PBE.

The structure belongs to space group F-43m (No. 216); the cell edges are 7.6227, 7.6227 and 7.6227 Å and the angles 90.00°, 90.00° and 90.00°. Symmetry generates all atoms from Nd at (0.0000, 0.0000, 0.0000), Mg at (0.0000, 0.0000, 0.5000), In at (0.2500, 0.2500, 0.7500) and Pb at (0.2500, 0.2500, 0.2500).

The value obtained for the energy above the lowest structure with this stoichiometry is 0.162 eV per atom. Its total moment is 0.00 μB/cell. As for the formation energy from the elements: -0.250 eV/atom.

=====

3.
GaAsOsSe2 after structural relaxation. Source: the Alexandria database, functional PBE.

The structure belongs to space group P4/mmm (No. 123); the cell edges are 5.1098, 5.1098 and 4.6531 Å and the angles 90.00°, 90.00° and 90.00°. Symmetry generates all atoms from Ga at (0.0000, 0.0000, 0.0000), As at (0.5000, 0.5000, 0.0000), Os at (0.5000, 0.5000, 0.5000) and Se at (0.0000, 0.5000, 0.5000).

The value obtained for the energy above the lowest structure with this stoichiometry is 0.000 eV per atom. Its total moment is 0.00 μB/cell.

=====

4.
TiMo3P after structural relaxation. Source: the Alexandria database, functional PBE.

The structure belongs to space group Pm-3m (No. 221); the cell edges are 4.5624, 4.5624 and 4.5624 Å and the angles 90.00°, 90.00° and 90.00°. Symmetry generates all atoms from Ti at (0.0000, 0.0000, 0.0000), Mo at (0.0000, 0.0000, 0.5000) and P at (0.5000, 0.5000, 0.5000).

The value obtained for the energy above the lowest structure with this stoichiometry is 1.299 eV per atom. Its total moment is 0.00 μB/cell. As for the formation energy from the elements: 1.699 eV/atom.

=====

5.
Ba2TlGa3Au4 after structural relaxation. Source: the Alexandria database, functional PBE.

The structure belongs to space group P-4m2 (No. 115); the cell edges are 4.7958, 4.7958 and 10.8158 Å and the angles 90.00°, 90.00° and 90.00°. Symmetry generates all atoms from Ba at (0.0000, 0.5000, 0.2429), Tl at (0.0000, 0.0000, 0.5000), Ga at (0.0000, 0.5000, 0.8884), Ga at (0.5000, 0.5000, 0.5000), Au at (0.0000, 0.0000, 0.0000), Au at (0.0000, 0.5000, 0.6474) and Au at (0.5000, 0.5000, 0.0000).

Its total moment is 0.00 μB/cell. As for the formation energy from the elements: -0.526 eV/atom.

=====

6.
CeCd4Hg4 after structural relaxation. Source: the Alexandria database, functional PBE.

The structure belongs to space group P4_2/nmc (No. 137, origin choice 2); the cell edges are 6.6953, 6.6953 and 10.1838 Å and the angles 90.00°, 90.00° and 90.00°. Symmetry generates all atoms from Ce at (0.2500, 0.7500, 0.2500), Cd at (0.0367, 0.2500, 0.1862) and Hg at (0.0017, 0.2500, 0.4774).

The value obtained for the energy above the lowest structure with this stoichiometry is 0.062 eV per atom. Its total moment is 2.21 μB/cell. As for the formation energy from the elements: -0.061 eV/atom.

=====

7.
La2BPd after structural relaxation. Source: the Alexandria database, functional PBE.

The structure belongs to space group I-42d (No. 122); the cell edges are 7.3549, 7.3549 and 7.7082 Å and the angles 90.00°, 90.00° and 90.00°. Symmetry generates all atoms from La at (0.2138, 0.7500, 0.1250), B at (0.0000, 0.0000, 0.0000) and Pd at (0.0000, 0.0000, 0.5000).

Its total moment is 0.00 μB/cell. As for the formation energy from the elements: 0.052 eV/atom.

=====

8.
Sr3CaBe after structural relaxation. Source: the Alexandria database, functional PBE.

The structure belongs to space group Pm-3m (No. 221); the cell edges are 6.6844, 6.6844 and 6.6844 Å and the angles 90.00°, 90.00° and 90.00°. Symmetry generates all atoms from Sr at (0.0000, 0.0000, 0.5000), Ca at (0.0000, 0.0000, 0.0000) and Be at (0.5000, 0.5000, 0.5000).

The value obtained for the energy above the lowest structure with this stoichiometry is 0.929 eV per atom. Its total moment is 2.67 μB/cell. As for the formation energy from the elements: 1.224 eV/atom.

=====

| no. | density of states at the Fermi level (states/eV/cell) |
| --- | --- |
| 1 | 5.52 |
| 2 | 15.83 |
| 3 | 6.08 |
| 4 | 8.14 |
| 5 | 4.35 |
| 6 | 22.69 |
| 7 | 30.14 |
| 8 | 7.85 |